No. 1
Density functional theory data (GGA-PBE) for LiMgI2O after structural relaxation.

Unit cell a=5.5038 b=5.5038 c=3.8439 alpha=90.00 beta=90.00 gamma=90.00
With the nearest neighbours (Å) after each atom.
Fractional positions:
I1 0.0000 0.5000 0.0000  2 Li 2.75
I2 0.5000 0.0000 0.0000  2 Li 2.75
Li1 0.0000 0.0000 0.0000  2 O 1.92
Mg1 0.5000 0.5000 0.5000  8 I 3.36
O1 0.0000 0.0000 0.5000  2 Li 1.92

Summary:
excess energy over the best structure of this formula in the dataset	0.476	eV/atom
energy relative to the elements, uncorrected	-0.423	eV per atom
crystal system	tetragonal


No. 2
Density functional theory data (GGA-PBE) for SrCuNi2 after structural relaxation.

Unit cell a=5.2086 b=5.1282 c=2.9347 alpha=78.09 beta=80.95 gamma=117.57
With the nearest neighbours (Å) after each atom.
Fractional positions:
Ni1 0.5000 0.0000 0.5000  2 Sr 2.68, 2 Cu 2.68, 4 Ni 2.78-2.93
Ni2 0.0000 0.0000 0.0000  2 Cu 2.68, 2 Sr 2.68, 4 Ni 2.78-2.93
Cu1 0.5000 0.5000 0.0000  4 Ni 2.68, 2 Sr 2.78, 2 Cu 2.93
Sr1 0.0000 0.5000 0.5000  4 Ni 2.68, 2 Cu 2.78, 2 Sr 2.93

Summary:
excess energy over the best structure of this formula in the dataset	0.587	eV/atom
E_form	517	meV per atom
crystal system	monoclinic


No. 3
Density functional theory data (GGA-PBE) for MgSc2Hg3 after structural relaxation.

Unit cell a=4.9314 b=4.9314 c=12.1668 alpha=90.00 beta=90.00 gamma=120.00
With the nearest neighbours (Å) after each atom.
Fractional positions:
Hg1 0.3333 0.6667 0.4183  4 Sc 2.99-3.02, 4 Mg 3.01-3.03
Hg2 0.6667 0.3333 0.0812  7 Sc 3.01-3.08, 1 Mg 3.07
Hg3 0.0000 0.0000 0.7505  5 Sc 3.00-3.05, 3 Mg 3.03
Hg4 0.6667 0.3333 0.5817  4 Sc 2.99-3.02, 4 Mg 3.01-3.03
Hg5 0.0000 0.0000 0.2495  5 Sc 3.00-3.05, 3 Mg 3.03
Hg6 0.3333 0.6667 0.9188  7 Sc 3.01-3.08, 1 Mg 3.07
Mg1 0.6667 0.3333 0.3339  8 Hg 3.01-3.07
Mg2 0.3333 0.6667 0.6661  8 Hg 3.01-3.07
Sc1 0.0000 0.0000 0.0000  8 Hg 3.01-3.04
Sc2 0.6667 0.3333 0.8277  8 Hg 2.99-3.08
Sc3 0.0000 0.0000 0.5000  8 Hg 3.02-3.05
Sc4 0.3333 0.6667 0.1723  8 Hg 2.99-3.08

Summary:
excess energy over the best structure of this formula in the dataset	0.000	eV/atom
E_form	-402	meV per atom
crystal system	trigonal


No. 4
Density functional theory data (GGA-PBE) for PPbO after structural relaxation.

Unit cell a=6.0035 b=6.0035 c=8.0167 alpha=134.78 beta=134.78 gamma=48.71
With the nearest neighbours (Å) after each atom.
Fractional positions:
O1 0.8083 0.8083 0.8537  1 P 1.62
O2 0.1917 0.1917 0.1463  1 P 1.62
P1 0.4044 0.4044 0.2882  1 O 1.62
P2 0.5956 0.5956 0.7118  1 O 1.62
Pb1 0.9371 0.9371 0.6787  2 O 2.38-2.65
Pb2 0.0629 0.0629 0.3213  2 O 2.38-2.65

Summary:
energy relative to the elements, uncorrected	-0.654	eV per atom
crystal system	monoclinic


No. 5
Density functional theory data (GGA-PBE) for MgBiN2 after structural relaxation.

Unit cell a=6.4634 b=6.4634 c=6.4634 alpha=31.17 beta=31.17 gamma=31.17
With the nearest neighbours (Å) after each atom.
Fractional positions:
Mg1 0.5000 0.5000 0.5000  6 N 2.22
Bi1 0.0000 0.0000 0.0000  2 N 2.11
N1 0.8855 0.8855 0.8855  1 Bi 2.11, 3 Mg 2.22
N2 0.1145 0.1145 0.1145  1 Bi 2.11, 3 Mg 2.22

Summary:
excess energy over the best structure of this formula in the dataset	0.495	eV/atom
energy relative to the elements, uncorrected	0.705	eV per atom
crystal system	trigonal


No. 6
Density functional theory data (GGA-PBE) for FeTcW2 after structural relaxation.

Unit cell a=4.3621 b=4.3621 c=4.3621 alpha=60.00 beta=60.00 gamma=60.00
With the nearest neighbours (Å) after each atom.
Fractional positions:
W1 0.7500 0.7500 0.7500  4 Tc 2.67, 4 Fe 2.67
W2 0.2500 0.2500 0.2500  4 Tc 2.67, 4 Fe 2.67
Fe1 0.0000 0.0000 0.0000  8 W 2.67
Tc1 0.5000 0.5000 0.5000  8 W 2.67

Summary:
excess energy over the best structure of this formula in the dataset	0.049	eV/atom
E_form	152	meV per atom
crystal system	cubic


No. 7
Density functional theory data (GGA-PBE) for Rb2BaCuBr6 after structural relaxation.

Unit cell a=8.1325 b=8.1325 c=8.1057 alpha=59.89 beta=59.89 gamma=90.00
With the nearest neighbours (Å) after each atom.
Fractional positions:
Br1 0.2743 0.2743 0.4515  1 Cu 2.58
Br2 0.7257 0.7257 0.5485  1 Cu 2.58
Br3 0.7275 0.2725 0.0000  1 Cu 2.62
Br4 0.2725 0.7275 0.0000  1 Cu 2.62
Br5 0.7275 0.7275 0.0000  1 Cu 2.62
Br6 0.2725 0.2725 0.0000  1 Cu 2.62
Ba1 0.0000 0.0000 0.0000  6 Br 3.13
Rb1 0.2500 0.7500 0.5000  12 Br 4.06-4.08
Rb2 0.7500 0.2500 0.5000  12 Br 4.06-4.08
Cu1 0.5000 0.5000 0.0000  6 Br 2.58-2.62

Summary:
energy relative to the elements, uncorrected	-1.342	eV per atom
crystal system	tetragonal


No. 8
Density functional theory data (GGA-PBE) for Nd2Cd5 after structural relaxation.

Unit cell a=6.9204 b=7.3893 c=8.7182 alpha=115.07 beta=113.38 gamma=90.00
With the nearest neighbours (Å) after each atom.
Fractional positions:
Cd1 0.7500 0.5000 0.0000  8 Cd 3.12-3.46, 4 Nd 3.22
Cd2 0.3756 0.1175 0.7512  6 Cd 3.00-3.21, 2 Nd 3.24-3.29
Cd3 0.1244 0.3663 0.2488  6 Cd 3.00-3.21, 2 Nd 3.24-3.29
Cd4 0.6244 0.8825 0.2488  6 Cd 3.00-3.21, 2 Nd 3.24-3.29
Cd5 0.0178 0.2678 0.5357  5 Cd 3.00-3.30, 2 Nd 3.21
Cd6 0.2500 0.5000 0.0000  8 Cd 3.12-3.46, 4 Nd 3.22
Cd7 0.8756 0.6337 0.7512  6 Cd 3.00-3.21, 2 Nd 3.24-3.29
Cd8 0.4822 0.7322 0.4643  5 Cd 3.00-3.30, 2 Nd 3.21
Cd9 0.5178 0.2678 0.5357  5 Cd 3.00-3.30, 2 Nd 3.21
Cd10 0.9822 0.7322 0.4643  5 Cd 3.00-3.30, 2 Nd 3.21
Nd1 0.8938 0.0888 0.7876  10 Cd 3.21-3.49
Nd2 0.6062 0.3012 0.2124  10 Cd 3.21-3.49
Nd3 0.1062 0.9112 0.2124  10 Cd 3.21-3.49
Nd4 0.3938 0.6988 0.7876  10 Cd 3.21-3.49

Summary:
E_form	-281	meV per atom
crystal system	orthorhombic


No. 9
Density functional theory data (GGA-PBE) for PrZn2TcH6 after structural relaxation.

Unit cell a=4.5619 b=5.9955 c=7.2555 alpha=90.00 beta=90.01 gamma=90.00
With the nearest neighbours (Å) after each atom.
Fractional positions:
H1 0.1571 0.3624 0.8048  1 Tc 1.79, 1 Zn 1.91
H2 0.4422 0.7205 0.4008  1 Tc 1.84, 1 Zn 2.05
H3 0.9422 0.7795 0.9008  1 Tc 1.84, 1 Zn 2.05
H4 0.0578 0.2205 0.0992  1 Tc 1.84, 1 Zn 2.05
H5 0.8241 0.8527 0.5263  1 Tc 1.73, 1 Zn 1.85
H6 0.5578 0.2795 0.5992  1 Tc 1.84, 1 Zn 2.05
H7 0.6759 0.3527 0.9737  1 Tc 1.73, 1 Zn 1.85
H8 0.3429 0.8624 0.6952  1 Tc 1.79, 1 Zn 1.91
H9 0.3241 0.6473 0.0263  1 Tc 1.73, 1 Zn 1.85
H10 0.6571 0.1376 0.3048  1 Tc 1.79, 1 Zn 1.91
H11 0.8429 0.6376 0.1952  1 Tc 1.79, 1 Zn 1.91
H12 0.1759 0.1473 0.4737  1 Tc 1.73, 1 Zn 1.85
Zn1 0.0127 0.9717 0.2907  4 H 1.85-2.05
Zn2 0.4873 0.4717 0.2093  4 H 1.85-2.05
Zn3 0.5127 0.5283 0.7907  4 H 1.85-2.05
Zn4 0.9873 0.0283 0.7093  4 H 1.85-2.05
Tc1 0.0000 0.5000 0.0000  6 H 1.73-1.84
Tc2 0.5000 0.0000 0.5000  6 H 1.73-1.84
Pr1 0.0000 0.5000 0.5000  6 H 2.27-2.52
Pr2 0.5000 0.0000 0.0000  6 H 2.27-2.52

Summary:
total energy	-3.841	eV per atom
crystal system	monoclinic


No. 10
Density functional theory data (GGA-PBE) for K2PmNdO4 after structural relaxation.

Unit cell a=3.6275 b=6.2843 c=6.6455 alpha=108.36 beta=90.00 gamma=90.00
With the nearest neighbours (Å) after each atom.
Fractional positions:
O1 0.5000 0.7679 0.8092  1 Pm 2.41, 2 Nd 2.42
O2 0.5000 0.2321 0.1908  1 Pm 2.41, 2 Nd 2.42
O3 0.0000 0.7282 0.1902  2 Pm 2.41, 1 Nd 2.42
O4 0.0000 0.2718 0.8098  2 Pm 2.41, 1 Nd 2.42
Nd1 0.0000 0.0000 0.0000  6 O 2.42
K1 0.5000 0.0000 0.5000  6 O 2.87
K2 0.0000 0.5000 0.5000  6 O 2.86
Pm1 0.5000 0.5000 0.0000  6 O 2.41

Summary:
energy relative to the elements, uncorrected	-2.627	eV per atom
crystal system	monoclinic


No. 11
Density functional theory data (GGA-PBE) for CdPdIO6 after structural relaxation.

Unit cell a=5.3235 b=5.3235 c=9.7319 alpha=90.00 beta=90.00 gamma=120.00
With the nearest neighbours (Å) after each atom.
Fractional positions:
O1 0.3760 0.0218 0.1380  1 I 1.94, 1 Pd 2.09
O2 0.3542 0.3760 0.8620  1 I 1.94, 1 Pd 2.09
O3 0.6458 0.0218 0.3620  1 I 1.94, 1 Pd 2.09
O4 0.6240 0.9782 0.8620  1 I 1.94, 1 Pd 2.09
O5 0.9782 0.6240 0.3620  1 I 1.94, 1 Pd 2.09
O6 0.3760 0.3542 0.3620  1 I 1.94, 1 Pd 2.09
O7 0.0218 0.6458 0.8620  1 I 1.94, 1 Pd 2.09
O8 0.9782 0.3542 0.1380  1 I 1.94, 1 Pd 2.09
O9 0.6240 0.6458 0.6380  1 I 1.94, 1 Pd 2.09
O10 0.3542 0.9782 0.6380  1 I 1.94, 1 Pd 2.09
O11 0.6458 0.6240 0.1380  1 I 1.94, 1 Pd 2.09
O12 0.0218 0.3760 0.6380  1 I 1.94, 1 Pd 2.09
Cd1 0.0000 0.0000 0.5000  6 O 2.36
Cd2 0.0000 0.0000 0.0000  6 O 2.36
I1 0.3333 0.6667 0.7500  6 O 1.94
I2 0.6667 0.3333 0.2500  6 O 1.94
Pd1 0.3333 0.6667 0.2500  6 O 2.09
Pd2 0.6667 0.3333 0.7500  6 O 2.09

Summary:
energy relative to the elements, uncorrected	-0.448	eV per atom
crystal system	trigonal


No. 12
Density functional theory data (GGA-PBE) for SrIrPt after structural relaxation.

Unit cell a=5.8253 b=5.8253 c=5.8253 alpha=150.70 beta=137.68 gamma=52.30
With the nearest neighbours (Å) after each atom.
Fractional positions:
Ir1 0.9485 0.9485 0.0000  4 Pt 2.65, 2 Ir 2.95, 1 Sr 2.95
Pt1 0.3850 0.3850 0.0000  4 Ir 2.65, 1 Sr 2.94, 2 Pt 2.95
Sr1 0.6665 0.6665 0.0000  1 Pt 2.94, 2 Sr 2.95, 1 Ir 2.95

Summary:
excess energy over the best structure of this formula in the dataset	0.454	eV/atom
E_form	-112	meV per atom
crystal system	orthorhombic